CuHg2Sb: optimized geometry, PBE-GGA.

Cell lengths 7.7152, 3.4718, 7.4018 Å; angles 90.00, 103.71, 90.00 degrees
Sites, in units of the cell vectors:
1 Cu 0.0000 0.0000 0.0000
2 Cu 0.5000 0.5000 0.0000
3 Hg 0.0173 0.5000 0.4808
4 Hg 0.2796 0.0000 0.7655
5 Hg 0.5173 0.0000 0.4808
6 Hg 0.7796 0.5000 0.7655
7 Sb 0.2357 0.5000 0.1714
8 Sb 0.7357 0.0000 0.1714

- ΔE_f (raw) (meV per atom) = 146